Record 1
A relaxed Li2PmF6 crystal. Source: Alexandria via LeMat-Bulk, functional GGA-PBE.

```
Li2PmF6
1.0
4.853 -2.001 0.000
4.853 2.001 0.000
-3.877 0.000 6.106
Li Pm F
2 1 6
direct
0.177 0.177 0.094 Li
0.823 0.823 0.906 Li
0.000 0.000 0.500 Pm
0.031 0.031 0.205 F
0.246 0.246 0.864 F
0.350 0.350 0.427 F
0.650 0.650 0.573 F
0.754 0.754 0.136 F
0.969 0.969 0.795 F
```

Computed properties:
formation energy without anion corrections = -3.050 eV per atom
mass density = 3.82 g/cm3
space group = No. 12
DOS at the Fermi energy = 4.77 states/eV/f.u.
spin magnetization = 1.01 μB per cell


Record 2
A relaxed Te2PdI crystal. Source: Alexandria via LeMat-Bulk, functional GGA-PBE.

```
Te2PdI
1.0
5.166 0.000 0.000
0.000 4.155 0.000
-1.893 0.000 5.578
Te Pd I
2 1 1
direct
0.154 0.000 0.343 Te
0.846 0.000 0.657 Te
0.500 0.500 0.500 Pd
0.500 0.500 0.000 I
```

Computed properties:
formation energy without anion corrections = -0.219 eV per atom
mass density = 6.77 g/cm3
space group = No. 10
DOS at the Fermi energy = 1.31 states/eV/f.u.
spin magnetization = 0.00 μB per cell


Record 3
A relaxed K2TcF7 crystal. Source: Alexandria via LeMat-Bulk, functional GGA-PBE.

```
K2TcF7
1.0
6.751 -3.262 0.000
6.751 3.262 0.000
-6.328 0.000 7.506
K Tc F
4 2 14
direct
0.003 0.305 0.233 K
0.305 0.003 0.733 K
0.695 0.997 0.267 K
0.997 0.695 0.767 K
0.306 0.694 0.250 Tc
0.694 0.306 0.750 Tc
0.020 0.134 0.904 F
0.134 0.020 0.404 F
0.183 0.584 0.303 F
0.253 0.461 0.008 F
0.392 0.608 0.750 F
0.416 0.817 0.197 F
0.461 0.253 0.508 F
0.539 0.747 0.492 F
0.584 0.183 0.803 F
0.608 0.392 0.250 F
0.747 0.539 0.992 F
0.817 0.416 0.697 F
0.866 0.980 0.596 F
0.980 0.866 0.096 F
```

Computed properties:
formation energy without anion corrections = -2.441 eV per atom
mass density = 3.11 g/cm3
space group = No. 15
spin magnetization = 4.00 μB per cell


Record 4
A relaxed In2OsW crystal. Source: Alexandria via LeMat-Bulk, functional GGA-PBE.

```
In2OsW
1.0
1.495 0.863 9.254
-1.495 0.863 9.254
0.000 -1.727 9.254
In Os W
2 1 1
direct
0.247 0.247 0.247 In
0.753 0.753 0.753 In
0.500 0.500 0.500 Os
0.000 0.000 0.000 W
```

Computed properties:
E_form = 671.8 meV/atom
mass density = 13.99 g/cm3
space group = No. 166
DOS at the Fermi energy = 3.16 states/eV/f.u.
spin magnetization = 0.00 μB per cell


Record 5
A relaxed KBPt3 crystal. Source: Alexandria via LeMat-Bulk, functional GGA-PBE.

```
KBPt3
1.0
4.237 0.000 0.000
0.000 9.556 0.000
-2.111 0.000 6.162
K B Pt
2 2 6
direct
0.063 0.250 0.121 K
0.937 0.750 0.879 K
0.330 0.250 0.661 B
0.670 0.750 0.339 B
0.201 0.750 0.403 Pt
0.288 0.054 0.575 Pt
0.288 0.446 0.575 Pt
0.712 0.554 0.425 Pt
0.712 0.946 0.425 Pt
0.799 0.250 0.597 Pt
```

Computed properties:
E_form = -147.7 meV/atom
mass density = 8.46 g/cm3
space group = No. 11
DOS at the Fermi energy = 1.48 states/eV/f.u.
spin magnetization = 0.00 μB per cell


Record 6
A relaxed CsMgInSb crystal. Source: Alexandria via LeMat-Bulk, functional GGA-PBE.

```
CsMgInSb
1.0
3.986 0.000 0.000
0.000 3.986 0.000
0.000 0.000 8.618
Cs Mg In Sb
1 1 1 1
direct
0.000 0.000 0.000 Cs
0.000 0.000 0.458 Mg
0.500 0.500 0.667 In
0.500 0.500 0.323 Sb
```

Computed properties:
formation energy without anion corrections = -0.194 eV per atom
mass density = 4.77 g/cm3
space group = No. 99
DOS at the Fermi energy = 1.78 states/eV/f.u.
spin magnetization = 0.00 μB per cell


Record 7
A relaxed AlFePtRh crystal. Source: Alexandria via LeMat-Bulk, functional GGA-PBE.

```
AlFePtRh
1.0
0.000 3.038 3.038
3.038 0.000 3.038
3.038 3.038 0.000
Al Fe Pt Rh
1 1 1 1
direct
0.000 0.000 0.000 Al
0.500 0.500 0.500 Fe
0.750 0.750 0.750 Pt
0.250 0.250 0.250 Rh
```

Computed properties:
E_form = -564.7 meV/atom
mass density = 11.27 g/cm3
space group = No. 216
DOS at the Fermi energy = 4.94 states/eV/f.u.
spin magnetization = 3.44 μB per cell


Record 8
A relaxed NaDyGeAu crystal. Source: Alexandria via LeMat-Bulk, functional GGA-PBE.

```
NaDyGeAu
1.0
0.000 3.519 3.519
3.519 0.000 3.519
3.519 3.519 0.000
Na Dy Ge Au
1 1 1 1
direct
0.000 0.000 0.000 Na
0.500 0.500 0.500 Dy
0.750 0.750 0.750 Ge
0.250 0.250 0.250 Au
```

Computed properties:
E_form = -491.8 meV/atom
mass density = 8.67 g/cm3
space group = No. 216
DOS at the Fermi energy = 2.59 states/eV/f.u.
spin magnetization = 0.00 μB per cell


Record 9
A relaxed Cd3Ag3Au crystal. Source: Alexandria via LeMat-Bulk, functional GGA-PBE.

```
Cd3Ag3Au
1.0
3.465 2.001 7.049
-3.465 2.001 7.049
0.000 -4.001 7.049
Cd Ag Au
6 6 2
direct
0.205 0.735 0.385 Cd
0.265 0.615 0.795 Cd
0.385 0.205 0.735 Cd
0.615 0.795 0.265 Cd
0.735 0.385 0.205 Cd
0.795 0.265 0.615 Cd
0.074 0.565 0.261 Ag
0.261 0.074 0.565 Ag
0.435 0.739 0.926 Ag
0.565 0.261 0.074 Ag
0.739 0.926 0.435 Ag
0.926 0.435 0.739 Ag
0.187 0.187 0.187 Au
0.813 0.813 0.813 Au
```

Computed properties:
E_form = -0.5 meV/atom
mass density = 9.72 g/cm3
space group = No. 148
DOS at the Fermi energy = 2.46 states/eV/f.u.
spin magnetization = 0.00 μB per cell


Record 10
A relaxed Ho2TmCo2 crystal. Source: Alexandria via LeMat-Bulk, functional GGA-PBE.

```
Ho2TmCo2
1.0
5.304 -2.871 0.000
5.304 2.871 0.000
-1.543 0.000 7.121
Ho Tm Co
4 2 4
direct
0.040 0.276 0.151 Ho
0.276 0.040 0.651 Ho
0.724 0.960 0.349 Ho
0.960 0.724 0.849 Ho
0.407 0.593 0.250 Tm
0.593 0.407 0.750 Tm
0.194 0.478 0.488 Co
0.478 0.194 0.988 Co
0.522 0.806 0.012 Co
0.806 0.522 0.512 Co
```

Computed properties:
E_form = -201.5 meV/atom
mass density = 9.44 g/cm3
space group = No. 15
DOS at the Fermi energy = 3.94 states/eV/f.u.
spin magnetization = 0.00 μB per cell


Record 11
A relaxed TbErNi crystal. Source: Alexandria via LeMat-Bulk, functional GGA-PBE.

```
TbErNi
1.0
6.776 -1.944 0.000
6.776 1.944 0.000
-1.059 0.000 5.569
Tb Er Ni
2 2 2
direct
0.153 0.153 0.315 Tb
0.847 0.847 0.685 Tb
0.417 0.417 0.217 Er
0.583 0.583 0.783 Er
0.231 0.231 0.863 Ni
0.769 0.769 0.137 Ni
```

Computed properties:
E_form = -295.0 meV/atom
mass density = 8.71 g/cm3
space group = No. 12
DOS at the Fermi energy = 3.29 states/eV/f.u.
spin magnetization = 0.00 μB per cell


Record 12
A relaxed YAsN2O crystal. Source: Alexandria via LeMat-Bulk, functional GGA-PBE.

```
YAsN2O
1.0
4.568 0.000 0.000
0.000 4.568 0.000
0.000 0.000 4.270
Y As N O
1 1 2 1
direct
0.000 0.000 0.000 Y
0.500 0.500 0.500 As
0.000 0.500 0.000 N
0.500 0.000 0.000 N
0.000 0.000 0.500 O
```

Computed properties:
formation energy without anion corrections = 0.693 eV per atom
mass density = 3.87 g/cm3
space group = No. 123
DOS at the Fermi energy = 2.44 states/eV/f.u.
spin magnetization = 2.01 μB per cell


Record 13
A relaxed BaSmMoN3 crystal. Source: Alexandria via LeMat-Bulk, functional GGA-PBE.

```
BaSmMoN3
1.0
6.882 -1.999 0.000
6.882 1.999 0.000
-1.999 0.000 7.382
Ba Sm Mo N
2 2 2 6
direct
0.141 0.141 0.074 Ba
0.859 0.859 0.926 Ba
0.158 0.158 0.567 Sm
0.842 0.842 0.433 Sm
0.497 0.497 0.314 Mo
0.503 0.503 0.686 Mo
0.006 0.006 0.300 N
0.340 0.340 0.639 N
0.356 0.356 0.205 N
0.644 0.644 0.795 N
0.660 0.660 0.361 N
0.994 0.994 0.700 N
```

Computed properties:
formation energy without anion corrections = -0.828 eV per atom
mass density = 6.96 g/cm3
space group = No. 12
DOS at the Fermi energy = 1.89 states/eV/f.u.
spin magnetization = 0.00 μB per cell


Record 14
A relaxed YCrBr2 crystal. Source: Alexandria via LeMat-Bulk, functional GGA-PBE.

```
YCrBr2
1.0
3.657 0.000 0.000
0.000 3.657 0.000
0.000 0.000 7.115
Y Cr Br
1 1 2
direct
0.000 0.000 0.000 Y
0.000 0.000 0.500 Cr
0.500 0.500 0.229 Br
0.500 0.500 0.771 Br
```

Computed properties:
formation energy without anion corrections = -0.352 eV per atom
mass density = 5.25 g/cm3
space group = No. 123
DOS at the Fermi energy = 1.61 states/eV/f.u.
spin magnetization = 5.14 μB per cell


Record 15
A relaxed Rb12Au3Se5 crystal. Source: Alexandria via LeMat-Bulk, functional GGA-PBE.

```
Rb12Au3Se5
1.0
-10.245 10.245 10.245
10.245 -10.245 10.245
10.245 10.245 -10.245
Rb Au Se
48 12 20
direct
0.037 0.212 0.119 Rb
0.037 0.325 0.918 Rb
0.082 0.619 0.407 Rb
0.082 0.963 0.675 Rb
0.093 0.712 0.675 Rb
0.093 0.881 0.418 Rb
0.119 0.037 0.212 Rb
0.119 0.582 0.907 Rb
0.175 0.212 0.593 Rb
0.175 0.463 0.582 Rb
0.212 0.119 0.037 Rb
0.212 0.593 0.175 Rb
0.288 0.325 0.907 Rb
0.288 0.463 0.381 Rb
0.325 0.907 0.288 Rb
0.325 0.918 0.037 Rb
0.381 0.288 0.463 Rb
0.381 0.593 0.918 Rb
0.407 0.082 0.619 Rb
0.407 0.825 0.788 Rb
0.418 0.093 0.881 Rb
0.418 0.825 0.537 Rb
0.463 0.381 0.288 Rb
0.463 0.582 0.175 Rb
0.537 0.418 0.825 Rb
0.537 0.619 0.712 Rb
0.582 0.175 0.463 Rb
0.582 0.907 0.119 Rb
0.593 0.175 0.212 Rb
0.593 0.918 0.381 Rb
0.619 0.407 0.082 Rb
0.619 0.712 0.537 Rb
0.675 0.082 0.963 Rb
0.675 0.093 0.712 Rb
0.712 0.537 0.619 Rb
0.712 0.675 0.093 Rb
0.788 0.407 0.825 Rb
0.788 0.881 0.963 Rb
0.825 0.537 0.418 Rb
0.825 0.788 0.407 Rb
0.881 0.418 0.093 Rb
0.881 0.963 0.788 Rb
0.907 0.119 0.582 Rb
0.907 0.288 0.325 Rb
0.918 0.037 0.325 Rb
0.918 0.381 0.593 Rb
0.963 0.675 0.082 Rb
0.963 0.788 0.881 Rb
0.125 0.250 0.375 Au
0.125 0.375 0.750 Au
0.250 0.375 0.125 Au
0.250 0.875 0.625 Au
0.375 0.125 0.250 Au
0.375 0.750 0.125 Au
0.625 0.250 0.875 Au
0.625 0.875 0.750 Au
0.750 0.125 0.375 Au
0.750 0.625 0.875 Au
0.875 0.625 0.250 Au
0.875 0.750 0.625 Au
0.000 0.000 0.000 Se
0.000 0.000 0.500 Se
0.000 0.500 0.000 Se
0.000 0.500 0.500 Se
0.125 0.750 0.875 Se
0.125 0.875 0.250 Se
0.250 0.125 0.875 Se
0.250 0.625 0.375 Se
0.375 0.250 0.625 Se
0.375 0.625 0.750 Se
0.500 0.000 0.000 Se
0.500 0.000 0.500 Se
0.500 0.500 0.000 Se
0.500 0.500 0.500 Se
0.625 0.375 0.250 Se
0.625 0.750 0.375 Se
0.750 0.375 0.625 Se
0.750 0.875 0.125 Se
0.875 0.125 0.750 Se
0.875 0.250 0.125 Se
```

Computed properties:
formation energy without anion corrections = -0.648 eV per atom
mass density = 3.11 g/cm3
space group = No. 230
DOS at the Fermi energy = 27.93 states/eV/f.u.
spin magnetization = 5.61 μB per cell


Record 16
A relaxed CsAcNpS4 crystal. Source: Alexandria via LeMat-Bulk, functional GGA-PBE.

```
CsAcNpS4
1.0
-4.211 4.644 6.254
4.211 -4.644 6.254
4.211 4.644 -6.254
Cs Ac Np S
2 2 2 8
direct
0.391 0.141 0.250 Cs
0.609 0.859 0.750 Cs
0.000 0.500 0.500 Ac
0.500 0.500 0.000 Ac
0.000 0.000 0.500 Np
0.000 0.500 0.000 Np
0.174 0.737 0.437 S
0.200 0.263 0.937 S
0.215 0.246 0.530 S
0.215 0.685 0.970 S
0.785 0.315 0.030 S
0.785 0.754 0.470 S
0.800 0.737 0.063 S
0.826 0.263 0.563 S
```

Computed properties:
formation energy without anion corrections = -1.557 eV per atom
mass density = 4.92 g/cm3
space group = No. 74
DOS at the Fermi energy = 9.85 states/eV/f.u.
spin magnetization = 6.00 μB per cell


Record 17
A relaxed Ba2SrCa3Mg2Si4O16 crystal. Source: Alexandria via LeMat-Bulk, functional GGA-PBE.

```
Ba2SrCa3Mg2Si4O16
1.0
5.509 0.000 0.000
0.001 6.948 0.000
0.007 0.002 9.541
Ba Sr Ca Mg Si O
2 1 3 2 4 16
direct
0.000 0.000 0.000 Ba
0.496 0.001 0.498 Ba
0.996 0.340 0.667 Sr
0.498 0.667 0.834 Ca
0.502 0.334 0.164 Ca
0.998 0.666 0.331 Ca
0.498 0.501 0.497 Mg
0.998 0.500 0.001 Mg
0.498 0.772 0.166 Si
0.499 0.229 0.835 Si
0.996 0.230 0.329 Si
0.998 0.769 0.665 Si
0.002 0.000 0.665 O
0.061 0.674 0.822 O
0.200 0.674 0.555 O
0.234 0.675 0.119 O
0.258 0.326 0.381 O
0.288 0.324 0.938 O
0.460 0.324 0.677 O
0.496 0.005 0.166 O
0.497 0.995 0.834 O
0.562 0.678 0.322 O
0.702 0.678 0.057 O
0.731 0.677 0.619 O
0.757 0.322 0.894 O
0.783 0.324 0.431 O
0.940 0.324 0.173 O
0.999 0.996 0.331 O
```

Computed properties:
formation energy without anion corrections = -2.979 eV per atom
mass density = 4.09 g/cm3
space group = No. 1
DOS at the Fermi energy = 0.00 states/eV/f.u.
spin magnetization = 0.00 μB per cell


Record 18
A relaxed AgSb2 crystal. Source: Alexandria via LeMat-Bulk, functional GGA-PBE.

```
AgSb2
1.0
4.195 0.000 0.000
-2.097 3.633 0.000
0.000 0.000 5.149
Ag Sb
1 2
direct
0.000 0.000 0.000 Ag
0.333 0.667 0.323 Sb
0.667 0.333 0.677 Sb
```

Computed properties:
formation energy without anion corrections = 0.109 eV per atom
mass density = 7.44 g/cm3
space group = No. 164
DOS at the Fermi energy = 1.42 states/eV/f.u.
spin magnetization = 0.00 μB per cell


Record 19
A relaxed ErLuScTc crystal. Source: Alexandria via LeMat-Bulk, functional GGA-PBE.

```
ErLuScTc
1.0
0.000 3.538 3.538
3.538 0.000 3.538
3.538 3.538 0.000
Er Lu Sc Tc
1 1 1 1
direct
0.000 0.000 0.000 Er
0.500 0.500 0.500 Lu
0.750 0.750 0.750 Sc
0.250 0.250 0.250 Tc
```

Computed properties:
E_form = 70.1 meV/atom
mass density = 9.10 g/cm3
space group = No. 216
DOS at the Fermi energy = 5.60 states/eV/f.u.
spin magnetization = 0.00 μB per cell


Record 20
A relaxed Nd4AlGa3 crystal. Source: Alexandria via LeMat-Bulk, functional GGA-PBE.

```
Nd4AlGa3
1.0
4.186 0.000 0.000
0.000 4.493 0.000
0.000 0.000 11.403
Nd Al Ga
4 1 3
direct
0.000 0.000 0.000 Nd
0.000 0.500 0.496 Nd
0.500 0.000 0.279 Nd
0.500 0.500 0.783 Nd
0.500 0.000 0.574 Al
0.000 0.000 0.713 Ga
0.000 0.500 0.210 Ga
0.500 0.500 0.069 Ga
```

Computed properties:
E_form = -530.5 meV/atom
mass density = 6.30 g/cm3
space group = No. 25
DOS at the Fermi energy = 8.76 states/eV/f.u.
spin magnetization = 0.00 μB per cell